1.
Here is a PBEsol-optimized structure of Li3Bi3P4O16 from Alexandria. Energies are from SCAN.

- Formation energy (no corrections): -2.152 eV/atom
- Raw total energy: -16.93 eV per atom

POSCAR file:
```
Li3Bi3P4O16
1.0
6.511 0.000 0.000
-3.256 8.871 -0.132
0.000 -0.617 10.793
Li Bi P O
6 6 8 32
Direct
0.406 0.692 0.731
0.286 0.692 0.231
0.500 0.500 0.500
0.000 0.500 0.000
0.714 0.308 0.769
0.594 0.308 0.269
0.661 0.714 0.978
0.052 0.714 0.478
0.948 0.286 0.522
0.339 0.286 0.022
0.344 0.000 0.750
0.656 0.000 0.250
0.242 0.872 0.008
0.631 0.872 0.508
0.865 0.614 0.735
0.749 0.614 0.235
0.251 0.386 0.765
0.135 0.386 0.265
0.369 0.128 0.492
0.758 0.128 0.992
0.221 0.024 0.973
0.803 0.024 0.473
0.527 0.874 0.637
0.382 0.829 0.904
0.347 0.874 0.137
0.447 0.829 0.404
0.014 0.750 0.007
0.099 0.727 0.709
0.736 0.750 0.507
0.721 0.712 0.771
0.628 0.727 0.209
0.992 0.712 0.271
0.284 0.485 0.891
0.335 0.490 0.659
0.201 0.485 0.391
0.155 0.490 0.159
0.845 0.510 0.841
0.799 0.515 0.609
0.665 0.510 0.341
0.716 0.515 0.109
0.008 0.288 0.729
0.372 0.273 0.791
0.279 0.288 0.229
0.264 0.250 0.493
0.901 0.273 0.291
0.986 0.250 0.993
0.553 0.171 0.596
0.653 0.126 0.863
0.618 0.171 0.096
0.473 0.126 0.363
0.197 0.976 0.527
0.779 0.976 0.027
```

2.
Here is a PBEsol-optimized structure of Li3Bi2P5O18 from Alexandria. Energies are from SCAN.

- Formation energy (no corrections): -2.156 eV/atom
- Raw total energy: -13.89 eV per atom

POSCAR file:
```
Li3Bi2P5O18
1.0
6.741 0.004 0.010
-0.043 9.822 -0.020
-0.467 -1.079 10.895
Li Bi P O
6 4 10 36
Direct
0.827 0.121 0.347
0.173 0.879 0.653
0.888 0.827 0.315
0.661 0.645 0.172
0.339 0.355 0.828
0.112 0.173 0.685
0.334 0.763 0.955
0.763 0.650 0.607
0.237 0.350 0.393
0.666 0.237 0.045
0.276 0.579 0.648
0.152 0.585 0.197
0.831 0.704 0.911
0.778 0.986 0.596
0.474 0.040 0.794
0.222 0.014 0.404
0.169 0.296 0.089
0.526 0.960 0.206
0.724 0.421 0.352
0.848 0.415 0.803
0.930 0.557 0.875
0.593 0.976 0.679
0.377 0.938 0.096
0.037 0.992 0.323
0.963 0.008 0.677
0.623 0.062 0.904
0.407 0.024 0.321
0.741 0.081 0.500
0.669 0.080 0.190
0.369 0.165 0.758
0.224 0.164 0.478
0.998 0.204 0.041
0.270 0.252 0.210
0.027 0.327 0.788
0.678 0.364 0.874
0.904 0.321 0.360
0.333 0.311 0.000
0.557 0.353 0.420
0.759 0.454 0.676
0.331 0.920 0.810
0.665 0.444 0.220
0.070 0.443 0.125
0.214 0.437 0.579
0.335 0.556 0.780
0.786 0.563 0.421
0.241 0.546 0.324
0.443 0.647 0.580
0.667 0.689 0.000
0.096 0.679 0.640
0.322 0.636 0.126
0.973 0.673 0.212
0.730 0.748 0.790
0.002 0.796 0.959
0.776 0.836 0.522
0.631 0.835 0.242
0.259 0.919 0.500
```

Q: Which value of raw total energy does entry 2 give?
A: -13.89 eV per atom

Q: Among the records above, which one has the lowest formation energy (no corrections)?
A: Li3Bi2P5O18

Repeat the second record exactly.
Here is a PBEsol-optimized structure of Li3Bi2P5O18 from Alexandria. Energies are from SCAN.

- Formation energy (no corrections): -2.156 eV/atom
- Raw total energy: -13.89 eV per atom

POSCAR file:
```
Li3Bi2P5O18
1.0
6.741 0.004 0.010
-0.043 9.822 -0.020
-0.467 -1.079 10.895
Li Bi P O
6 4 10 36
Direct
0.827 0.121 0.347
0.173 0.879 0.653
0.888 0.827 0.315
0.661 0.645 0.172
0.339 0.355 0.828
0.112 0.173 0.685
0.334 0.763 0.955
0.763 0.650 0.607
0.237 0.350 0.393
0.666 0.237 0.045
0.276 0.579 0.648
0.152 0.585 0.197
0.831 0.704 0.911
0.778 0.986 0.596
0.474 0.040 0.794
0.222 0.014 0.404
0.169 0.296 0.089
0.526 0.960 0.206
0.724 0.421 0.352
0.848 0.415 0.803
0.930 0.557 0.875
0.593 0.976 0.679
0.377 0.938 0.096
0.037 0.992 0.323
0.963 0.008 0.677
0.623 0.062 0.904
0.407 0.024 0.321
0.741 0.081 0.500
0.669 0.080 0.190
0.369 0.165 0.758
0.224 0.164 0.478
0.998 0.204 0.041
0.270 0.252 0.210
0.027 0.327 0.788
0.678 0.364 0.874
0.904 0.321 0.360
0.333 0.311 0.000
0.557 0.353 0.420
0.759 0.454 0.676
0.331 0.920 0.810
0.665 0.444 0.220
0.070 0.443 0.125
0.214 0.437 0.579
0.335 0.556 0.780
0.786 0.563 0.421
0.241 0.546 0.324
0.443 0.647 0.580
0.667 0.689 0.000
0.096 0.679 0.640
0.322 0.636 0.126
0.973 0.673 0.212
0.730 0.748 0.790
0.002 0.796 0.959
0.776 0.836 0.522
0.631 0.835 0.242
0.259 0.919 0.500
```

Q: raw total energy of number 2 (Li3Bi2P5O18)?
A: -13.89 eV per atom